Record 1
A plane-wave DFT calculation with GGA-PBE was carried out for Nb2CdSe3Br2 after structural relaxation. Values from VASP.

Geometry as Quantum ESPRESSO input:
```
&SYSTEM
  ibrav = 0, nat = 16, ntyp = 4
/
ATOMIC_SPECIES
Cd 112.41 Cd.upf
Se 78.96 Se.upf
Nb 92.91 Nb.upf
Br 79.90 Br.upf
ATOMIC_POSITIONS angstrom
Cd -3.394 0.000 11.178
Cd 17.043 0.000 0.669
Se 8.884 0.000 6.488
Se 18.315 0.000 3.320
Se 4.765 0.000 5.358
Se 12.015 0.000 8.081
Se -4.666 0.000 8.527
Se 1.634 0.000 3.766
Nb 12.985 0.000 5.473
Nb 3.819 0.000 7.697
Nb 9.830 0.000 4.149
Nb 0.664 0.000 6.374
Br 8.572 0.000 10.116
Br 1.789 0.000 11.280
Br 5.077 0.000 1.731
Br 11.860 0.000 0.566
CELL_PARAMETERS angstrom
10.161 -1.778 0.000
10.161 1.778 0.000
-6.672 0.000 11.847
```


Record 2
A plane-wave DFT calculation with GGA-PBE was carried out for KSmFeTe3 after structural relaxation. Values from VASP.

Geometry as Quantum ESPRESSO input:
```
&SYSTEM
  ibrav = 0, nat = 12, ntyp = 4
/
ATOMIC_SPECIES
Te 127.60 Te.upf
Sm 150.36 Sm.upf
Fe 55.84 Fe.upf
K 39.10 K.upf
ATOMIC_POSITIONS angstrom
Te -15.172 -0.465 7.986
Te -10.565 -1.495 10.183
Te -1.265 -0.577 2.789
Te -10.316 -0.488 6.107
Te -5.872 0.453 0.593
Te -6.121 -0.554 4.668
Sm -0.345 -1.397 5.652
Sm 0.000 0.000 0.000
Fe -7.552 0.123 2.578
Fe -8.885 -1.164 8.197
K -4.474 -1.655 8.345
K -11.963 0.613 2.430
CELL_PARAMETERS angstrom
-7.655 3.004 0.275
-8.092 -1.252 -0.804
-0.691 -2.794 11.305
```


Record 3
A plane-wave DFT calculation with GGA-PBE was carried out for P4Ir after structural relaxation. Values from VASP.

Geometry as Quantum ESPRESSO input:
```
&SYSTEM
  ibrav = 0, nat = 10, ntyp = 2
/
ATOMIC_SPECIES
Ir 192.22 Ir.upf
P 30.97 P.upf
ATOMIC_POSITIONS angstrom
Ir 0.208 3.596 3.260
Ir -2.245 1.930 -0.446
P -0.281 0.994 0.471
P -1.866 4.297 0.084
P -3.193 1.679 1.701
P -0.170 1.229 2.730
P -1.755 4.532 2.343
P -2.144 0.090 2.943
P 0.108 5.437 -0.129
P 1.157 3.847 1.113
CELL_PARAMETERS angstrom
-4.038 1.758 -4.009
-0.867 -1.946 5.562
2.869 5.714 1.261
```


Record 4
A plane-wave DFT calculation with GGA-PBE was carried out for Gd4C2ICl after structural relaxation. Values from VASP.

Geometry as Quantum ESPRESSO input:
```
&SYSTEM
  ibrav = 0, nat = 8, ntyp = 4
/
ATOMIC_SPECIES
Gd 157.25 Gd.upf
I 126.90 I.upf
C 12.01 C.upf
Cl 35.45 Cl.upf
ATOMIC_POSITIONS angstrom
Gd 0.000 0.000 9.643
Gd 0.000 2.158 12.242
Gd 0.000 0.000 4.726
Gd 0.000 2.158 2.127
I 0.000 2.158 7.185
C 1.869 1.079 10.969
C 1.869 1.079 3.400
Cl 0.000 0.000 0.000
CELL_PARAMETERS angstrom
3.738 0.000 0.000
-1.869 3.237 0.000
0.000 0.000 14.370
```


Number 1: VASP energy -5.044 eV per atom. Number 2: VASP energy -4.791 eV per atom. Number 3: VASP energy -6.416 eV per atom. Number 4: VASP energy -5.980 eV per atom.